The following is a DFT calculation (PBE) of MoAsOsBr2 after structural relaxation.

Lattice parameters (Å, degrees): 5.0706 5.0706 4.9763 90.00 90.00 90.00
Closest atoms and distances in Å follow each position.
Sites, in units of the cell vectors:
Mo 0.0000 0.0000 0.0000  2 As 2.49, 4 Br 2.54
As 0.0000 0.0000 0.5000  2 Mo 2.49
Os 0.5000 0.5000 0.5000  8 Br 3.55, 4 As 3.59
Br 0.0000 0.5000 0.0000  2 Mo 2.54
Br 0.5000 0.0000 0.0000  2 Mo 2.54

Summary:
Space group = No. 123
Calculated total energy = -22.47 eV/cell
Volume = 128 Å³/cell
Density of states at the Fermi level = 7.978 states/eV/f.u.


The following is a DFT calculation (PBE) of MoAs2OsBr after structural relaxation.

Lattice parameters (Å, degrees): 4.7131 4.7131 5.4362 90.00 90.00 90.00
Closest atoms and distances in Å follow each position.
Sites, in units of the cell vectors:
Mo 0.0000 0.0000 0.0000  4 Br 3.33, 8 As 3.60
As 0.0000 0.5000 0.5000  2 Os 2.36
As 0.5000 0.0000 0.5000  2 Os 2.36
Os 0.5000 0.5000 0.5000  4 As 2.36
Br 0.5000 0.5000 0.0000  2 Os 2.72

Summary:
Space group = No. 123
Calculated total energy = -27.09 eV/cell
Volume = 121 Å³/cell
Density of states at the Fermi level = 3.930 states/eV/f.u.


The following is a DFT calculation (PBE) of MoAsPBr2 after structural relaxation.

Lattice parameters (Å, degrees): 4.9760 4.9760 5.0367 90.00 90.00 90.00
Closest atoms and distances in Å follow each position.
Sites, in units of the cell vectors:
Mo 0.0000 0.0000 0.0000  4 As 3.52, 8 Br 3.54
As 0.5000 0.5000 0.0000  2 P 2.52
P 0.5000 0.5000 0.5000  4 Br 2.49, 2 As 2.52
Br 0.0000 0.5000 0.5000  2 P 2.49
Br 0.5000 0.0000 0.5000  2 P 2.49

Summary:
Space group = No. 123
Calculated total energy = -19.08 eV/cell
Volume = 125 Å³/cell
Density of states at the Fermi level = 3.769 states/eV/f.u.


The following is a DFT calculation (PBE) of MoAs2PBr after structural relaxation.

Lattice parameters (Å, degrees): 4.7835 4.7835 4.8788 90.00 90.00 90.00
Closest atoms and distances in Å follow each position.
Sites, in units of the cell vectors:
Mo 0.0000 0.0000 0.0000  4 Br 3.38, 8 As 3.42
As 0.0000 0.5000 0.5000  2 P 2.39
As 0.5000 0.0000 0.5000  2 P 2.39
P 0.5000 0.5000 0.5000  4 As 2.39, 2 Br 2.44
Br 0.5000 0.5000 0.0000  2 P 2.44

Summary:
Space group = No. 123
Calculated total energy = -21.67 eV/cell
Volume = 112 Å³/cell
Density of states at the Fermi level = 3.687 states/eV/f.u.


The following is a DFT calculation (PBE) of MoAsPBr2 after structural relaxation.

Lattice parameters (Å, degrees): 5.1960 5.1960 4.9976 90.00 90.00 90.00
Closest atoms and distances in Å follow each position.
Sites, in units of the cell vectors:
Mo 0.0000 0.0000 0.0000  2 As 2.50, 4 Br 2.60
As 0.0000 0.0000 0.5000  2 Mo 2.50
P 0.5000 0.5000 0.5000  8 Br 3.60, 4 As 3.67
Br 0.0000 0.5000 0.0000  2 Mo 2.60
Br 0.5000 0.0000 0.0000  2 Mo 2.60

Summary:
Space group = No. 123
Calculated total energy = -20.45 eV/cell
Volume = 135 Å³/cell
Density of states at the Fermi level = 2.759 states/eV/f.u.


The following is a DFT calculation (PBE) of MoAs2PBr after structural relaxation.

Lattice parameters (Å, degrees): 4.8971 4.8971 5.1453 90.00 90.00 90.00
Closest atoms and distances in Å follow each position.
Sites, in units of the cell vectors:
Mo 0.0000 0.0000 0.0000  4 As 2.45, 2 Br 2.57
As 0.0000 0.5000 0.0000  2 Mo 2.45
As 0.5000 0.0000 0.0000  2 Mo 2.45
P 0.5000 0.5000 0.5000  4 Br 3.46, 8 As 3.55
Br 0.0000 0.0000 0.5000  2 Mo 2.57

Summary:
Space group = No. 123
Calculated total energy = -23.17 eV/cell
Volume = 123 Å³/cell
Density of states at the Fermi level = 2.617 states/eV/f.u.


The following is a DFT calculation (PBE) of MoAsPb2Br after structural relaxation.

Lattice parameters (Å, degrees): 5.4854 5.4854 4.7816 90.00 90.00 90.00
Closest atoms and distances in Å follow each position.
Sites, in units of the cell vectors:
Mo 0.0000 0.0000 0.0000  2 As 2.39
As 0.0000 0.0000 0.5000  2 Mo 2.39
Pb 0.0000 0.5000 0.0000  2 Mo 2.74
Pb 0.5000 0.0000 0.0000  2 Mo 2.74
Br 0.5000 0.5000 0.5000  8 Pb 3.64, 4 As 3.88

Summary:
Space group = No. 123
Calculated total energy = -24.53 eV/cell
Volume = 144 Å³/cell
Density of states at the Fermi level = 2.279 states/eV/f.u.


The following is a DFT calculation (PBE) of MoAsPbBr2 after structural relaxation.

Lattice parameters (Å, degrees): 5.2360 5.2360 5.0094 90.00 90.00 90.00
Closest atoms and distances in Å follow each position.
Sites, in units of the cell vectors:
Mo 0.0000 0.0000 0.0000  2 As 2.50, 4 Br 2.62
As 0.0000 0.0000 0.5000  2 Mo 2.50
Pb 0.5000 0.5000 0.5000  8 Br 3.62, 4 As 3.70
Br 0.0000 0.5000 0.0000  2 Mo 2.62
Br 0.5000 0.0000 0.0000  2 Mo 2.62

Summary:
Space group = No. 123
Calculated total energy = -21.58 eV/cell
Volume = 137 Å³/cell
Density of states at the Fermi level = 3.350 states/eV/f.u.